[1]
Below is a PBEsol-optimized structure of CaCd2, with properties calculated at the meta-GGA SCAN level.

a b c (Å): 5.0013 6.3169 9.2119
angles (deg): 90.00 90.00 90.00
Closest atoms and distances in Å follow each position.
Fractional coordinates of all 12 atoms:
Ca1 0.7500 0.8194 0.0805  10 Cd 3.04-3.37
Ca2 0.2500 0.6806 0.5805  10 Cd 3.04-3.37
Ca3 0.7500 0.3194 0.4195  10 Cd 3.04-3.37
Ca4 0.2500 0.1806 0.9195  10 Cd 3.04-3.37
Cd1 0.7500 0.4657 0.7713  5 Cd 3.06-3.18, 5 Ca 3.34-3.37
Cd2 0.2500 0.0343 0.2713  5 Cd 3.06-3.18, 5 Ca 3.34-3.37
Cd3 0.7500 0.9657 0.7287  5 Cd 3.06-3.18, 5 Ca 3.34-3.37
Cd4 0.2500 0.5343 0.2287  5 Cd 3.06-3.18, 5 Ca 3.34-3.37
Cd5 0.7500 0.3265 0.0890  5 Ca 3.04-3.20, 3 Cd 3.06-3.10
Cd6 0.2500 0.1735 0.5890  5 Ca 3.04-3.20, 3 Cd 3.06-3.10
Cd7 0.7500 0.8265 0.4110  5 Ca 3.04-3.20, 3 Cd 3.06-3.10
Cd8 0.2500 0.6735 0.9110  5 Ca 3.04-3.20, 3 Cd 3.06-3.10

SG = Pnma (62)
ΔH_f (0 K) = -315 meV per atom

=====

[2]
Below is a PBEsol-optimized structure of MnNi2Te, with properties calculated at the meta-GGA SCAN level.

a b c (Å): 3.3120 3.3120 5.1634
angles (deg): 90.00 90.00 90.00
Closest atoms and distances in Å follow each position.
Fractional coordinates of all 4 atoms:
Mn1 0.5000 0.5000 0.7852  5 Ni 2.38-2.57
Ni1 0.0000 0.0000 0.9897  2 Te 2.53-2.63, 4 Mn 2.57, 4 Ni 2.69
Ni2 0.5000 0.5000 0.2452  1 Mn 2.38, 4 Te 2.64
Te1 0.0000 0.0000 0.4799  6 Ni 2.53-2.64, 4 Mn 2.82

SG = P4mm (99)
Formation energy without anion corrections = 0.14 eV/f.u.

=====

[3]
Below is a PBEsol-optimized structure of Li4MgIn, with properties calculated at the meta-GGA SCAN level.

a b c (Å): 5.3180 5.3180 5.3180
angles (deg): 60.00 60.00 60.00
Closest atoms and distances in Å follow each position.
Fractional coordinates of all 6 atoms:
Mg1 0.7500 0.7500 0.7500  12 Li 3.12, 4 In 3.26
In1 0.0000 0.0000 0.0000  12 Li 3.12, 4 Mg 3.26
Li1 0.3742 0.3742 0.3742  6 Li 2.64-2.68
Li2 0.3742 0.3742 0.8774  6 Li 2.64-2.68
Li3 0.8774 0.3742 0.3742  6 Li 2.64-2.68
Li4 0.3742 0.8774 0.3742  6 Li 2.64-2.68

SG = F-43m (216)
ΔH_f (0 K) = -158 meV per atom

=====

[4]
Below is a PBEsol-optimized structure of Zr2CuSb, with properties calculated at the meta-GGA SCAN level.

a b c (Å): 3.7909 3.9071 5.6352
angles (deg): 90.00 109.66 90.00
Closest atoms and distances in Å follow each position.
Fractional coordinates of all 4 atoms:
Sb1 0.6820 0.5000 0.3640  2 Cu 2.56
Zr1 0.0916 0.0000 0.1833  1 Cu 2.70, 4 Sb 2.89
Zr2 0.4042 0.5000 0.8085  4 Cu 2.81, 3 Sb 2.95-3.03
Cu1 0.8373 0.0000 0.6745  2 Sb 2.56, 5 Zr 2.70-2.81

SG = Amm2 (38)
Formation energy without anion corrections = -2.30 eV/f.u.

=====

[5]
Below is a PBEsol-optimized structure of BaIr2Br, with properties calculated at the meta-GGA SCAN level.

a b c (Å): 3.4930 3.4823 8.1368
angles (deg): 90.00 102.37 90.00
Closest atoms and distances in Å follow each position.
Fractional coordinates of all 4 atoms:
Ir1 0.8613 0.0000 0.0974  4 Ir 2.55
Ir2 0.4024 0.5000 0.1798  4 Ir 2.55
Ba1 0.0555 0.0000 0.4858  1 Ir 3.09, 4 Br 3.17
Br1 0.6808 0.5000 0.7370  4 Ba 3.17, 2 Ir 3.35, 4 Br 3.48-3.49

SG = Amm2 (38)
ΔE to the lowest computed polymorph = 0.0 meV per atom
Formation energy without anion corrections = -0.57 eV/f.u.

=====

[6]
Below is a PBEsol-optimized structure of YTlPt4, with properties calculated at the meta-GGA SCAN level.

a b c (Å): 5.3482 5.3482 5.3482
angles (deg): 60.00 60.00 60.00
Closest atoms and distances in Å follow each position.
Fractional coordinates of all 6 atoms:
Y1 0.0000 0.0000 0.0000  12 Pt 3.14, 4 Tl 3.28
Tl1 0.7500 0.7500 0.7500  12 Pt 3.14, 4 Y 3.28
Pt1 0.3752 0.3752 0.3752  6 Pt 2.67-2.68
Pt2 0.3752 0.3752 0.8743  6 Pt 2.67-2.68
Pt3 0.8743 0.3752 0.3752  6 Pt 2.67-2.68
Pt4 0.3752 0.8743 0.3752  6 Pt 2.67-2.68

SG = F-43m (216)
ΔH_f (0 K) = -825 meV per atom

=====

[7]
Below is a PBEsol-optimized structure of Ga3PH, with properties calculated at the meta-GGA SCAN level.

a b c (Å): 4.8477 4.8477 4.8477
angles (deg): 90.00 90.00 90.00
Closest atoms and distances in Å follow each position.
Fractional coordinates of all 5 atoms:
P1 0.0000 0.0000 0.0000  6 Ga 2.42
Ga1 0.0000 0.5000 0.0000  2 P 2.42
Ga2 0.0000 0.0000 0.5000  2 P 2.42
Ga3 0.5000 0.0000 0.0000  2 P 2.42
H1 0.5000 0.5000 0.5000  12 Ga 3.43

SG = Pm-3m (221)
Total DFT energy (no corrections) = -58.35 eV/cell

=====

[8]
Below is a PBEsol-optimized structure of LiAsSe2S, with properties calculated at the meta-GGA SCAN level.

a b c (Å): 4.4352 4.4352 4.6810
angles (deg): 90.00 90.00 90.00
Closest atoms and distances in Å follow each position.
Fractional coordinates of all 5 atoms:
As1 0.0000 0.0000 0.5000  2 Li 2.34
S1 0.5000 0.5000 0.5000  4 As 3.14, 8 Se 3.22
Se1 0.0000 0.5000 0.0000  2 Li 2.22
Se2 0.5000 0.0000 0.0000  2 Li 2.22
Li1 0.0000 0.0000 0.0000  4 Se 2.22, 2 As 2.34

SG = P4/mmm (123)
Formation energy without anion corrections = 3.54 eV/f.u.